Pr3Zn3Rh PBE optimized geometry; total DFT energy (no corrections) = -56.7 eV/cell; SG = C2/m, No. 12; calculated formation energy = -0.408 eV/atom; ρ = 7.09 g/cm3
1.0
3.9175 0.0000 0.5901
1.9032 5.6372 0.6641
-0.2999 0.4673 15.2893
Pr Zn Rh
6 6 2
Direct
0.4804 0.6518 0.3873
0.3740 0.3282 0.9238
0.5196 0.3482 0.6127
0.2671 0.2281 0.2377
0.7329 0.7719 0.7623
0.6260 0.6718 0.0762
0.8262 0.8131 0.5344
0.9062 0.1113 0.0763
0.0938 0.8887 0.9237
0.0153 0.1973 0.7721
0.9847 0.8027 0.2279
0.1738 0.1869 0.4656
0.2143 0.9407 0.6307
0.7857 0.0593 0.3693

---

NaSmTlCd PBE optimized geometry; total DFT energy (no corrections) = -10.2 eV/cell; SG = F-43m, No. 216; calculated formation energy = -0.229 eV/atom; ρ = 7.62 g/cm3
1.0
-1.0155 4.7191 2.2516
-4.8104 2.2245 -0.5317
-3.2727 0.3018 4.1916
Tl Na Cd Sm
1 1 1 1
Direct
0.2500 0.2500 0.2500
0.0000 0.0000 0.0000
0.7500 0.7500 0.7500
0.5000 0.5000 0.5000